Record 1
Compound: TmMgScIr
Source: Alexandria via LeMat-Bulk
Functional: PBE-GGA
Structure: relaxed

Cell and atoms, written as POSCAR:
```
TmMgScIr
1.0
0.0000 3.4282 3.4282
3.4282 0.0000 3.4282
3.4282 3.4282 0.0000
Tm Mg Sc Ir
1 1 1 1
direct
0.0000 0.0000 0.0000
0.2500 0.2500 0.2500
0.5000 0.5000 0.5000
0.7500 0.7500 0.7500
```

Summary:
Formation energy (eV/f.u.): -2.06
Symmetry: F-43m (216)
Magnetization (μB per atom): 0.000
Calculated volume (A^3/atom): 20.14

***

Record 2
Compound: NpMnRh2
Source: Alexandria via LeMat-Bulk
Functional: PBE-GGA
Structure: relaxed

Cell and atoms, written as POSCAR:
```
NpMnRh2
1.0
4.1756 0.0000 0.0000
0.0000 4.1756 0.0000
0.0000 0.0000 3.7679
Np Mn Rh
1 1 2
direct
0.0000 0.0000 0.0000
0.5000 0.5000 0.0000
0.0000 0.5000 0.5000
0.5000 0.0000 0.5000
```

Summary:
Formation energy (eV/f.u.): -1.39
Symmetry: P4/mmm (123)
Magnetization (μB per atom): 0.350
Calculated volume (A^3/atom): 16.42
E above lowest polymorph (meV/atom): 0

***

Record 3
Compound: V2CrGa2Ni7
Source: Alexandria via LeMat-Bulk
Functional: PBE-GGA
Structure: relaxed

Cell and atoms, written as POSCAR:
```
V2CrGa2Ni7
1.0
2.3437 -2.3438 0.0000
2.3437 2.3438 0.0000
-2.3074 0.0000 13.8875
V Cr Ga Ni
2 1 2 7
direct
0.1313 0.1313 0.2666
0.8687 0.8687 0.7334
0.5000 0.5000 0.0000
0.3156 0.3156 0.6281
0.6844 0.6844 0.3719
0.0000 0.0000 0.0000
0.0664 0.5663 0.1356
0.2236 0.2236 0.4496
0.4337 0.9336 0.8644
0.5663 0.0664 0.1356
0.7764 0.7764 0.5504
0.9336 0.4337 0.8644
```

Summary:
Formation energy (eV/f.u.): 1.03
Symmetry: C2/m (12)
Magnetization (μB per atom): 0.054
Calculated volume (A^3/atom): 12.71

***

Record 4
Compound: Ac2CdTc
Source: Alexandria via LeMat-Bulk
Functional: PBE-GGA
Structure: relaxed

Cell and atoms, written as POSCAR:
```
Ac2CdTc
1.0
1.7949 1.0363 11.1948
-1.7949 1.0363 11.1948
0.0000 -2.0725 11.1948
Ac Cd Tc
2 1 1
direct
0.0789 0.0789 0.0789
0.9211 0.9211 0.9211
0.5000 0.5000 0.5000
0.0000 0.0000 0.0000
```

Summary:
Formation energy (eV/f.u.): 3.19
Symmetry: R-3m (166)
Magnetization (μB per atom): 0.000
Calculated volume (A^3/atom): 31.23

***

Record 5
Compound: CaPuRhO6
Source: Alexandria via LeMat-Bulk
Functional: PBE-GGA
Structure: relaxed

Cell and atoms, written as POSCAR:
```
CaPuRhO6
1.0
5.2355 0.0000 0.0000
-2.6178 4.5341 0.0000
0.0000 0.0000 10.5451
Ca Pu Rh O
2 2 2 12
direct
0.0000 0.0000 0.0000
0.0000 0.0000 0.5000
0.3333 0.6667 0.2500
0.6667 0.3333 0.7500
0.3333 0.6667 0.7500
0.6667 0.3333 0.2500
0.0012 0.3531 0.6419
0.0012 0.6481 0.8581
0.3519 0.3531 0.8581
0.3519 0.9988 0.6419
0.3531 0.0012 0.1419
0.3531 0.3519 0.3581
0.6469 0.6481 0.6419
0.6469 0.9988 0.8581
0.6481 0.0012 0.3581
0.6481 0.6469 0.1419
0.9988 0.3519 0.1419
0.9988 0.6469 0.3581
```

Summary:
ΔE_f (raw) (meV per atom): -2113
Symmetry: P-31c (163)
Magnetization (μB per atom): 0.105
Calculated volume (A^3/atom): 13.91

***

Record 6
Compound: KAsPS2
Source: Alexandria via LeMat-Bulk
Functional: PBE-GGA
Structure: relaxed

Cell and atoms, written as POSCAR:
```
KAsPS2
1.0
5.7747 0.0000 0.0000
0.0000 5.7747 0.0000
0.0000 0.0000 6.0897
K As P S
1 1 1 2
direct
0.0000 0.0000 0.0000
0.5000 0.5000 0.5000
0.0000 0.0000 0.5000
0.0000 0.5000 0.0000
0.5000 0.0000 0.0000
```

Summary:
ΔE_f (raw) (meV per atom): 1654
Symmetry: P4/mmm (123)
Magnetization (μB per atom): 0.601
Calculated volume (A^3/atom): 40.61
E above lowest polymorph (meV/atom): 1509

***

Record 7
Compound: Pr4Al12Cd
Source: Alexandria via LeMat-Bulk
Functional: PBE-GGA
Structure: relaxed

Cell and atoms, written as POSCAR:
```
Pr4Al12Cd
1.0
-4.4921 4.4921 4.4921
4.4921 -4.4921 4.4921
4.4921 4.4921 -4.4921
Pr Al Cd
4 12 1
direct
0.0000 0.0000 0.5000
0.0000 0.5000 0.0000
0.5000 0.0000 0.0000
0.5000 0.5000 0.5000
0.0000 0.3178 0.3178
0.0000 0.6822 0.6822
0.2500 0.5000 0.7500
0.2500 0.7500 0.5000
0.3178 0.0000 0.3178
0.3178 0.3178 0.0000
0.5000 0.2500 0.7500
0.5000 0.7500 0.2500
0.6822 0.0000 0.6822
0.6822 0.6822 0.0000
0.7500 0.2500 0.5000
0.7500 0.5000 0.2500
0.0000 0.0000 0.0000
```

Summary:
Formation energy (eV/f.u.): -6.42
Symmetry: Im-3m (229)
Magnetization (μB per atom): 0.000
Calculated volume (A^3/atom): 21.33

***

Record 8
Compound: Tb6Ho12Sn
Source: Alexandria via LeMat-Bulk
Functional: PBE-GGA
Structure: relaxed

Cell and atoms, written as POSCAR:
```
Tb6Ho12Sn
1.0
5.8788 3.3941 4.9749
-5.8788 3.3941 4.9749
0.0000 -6.7882 4.9749
Tb Ho Sn
6 12 1
direct
0.1979 0.7559 0.5930
0.2441 0.4070 0.8021
0.4070 0.8021 0.2441
0.5930 0.1979 0.7559
0.7559 0.5930 0.1979
0.8021 0.2441 0.4070
0.0414 0.9331 0.2780
0.0669 0.7220 0.9586
0.1402 0.4890 0.3086
0.2780 0.0414 0.9331
0.3086 0.1402 0.4890
0.4890 0.3086 0.1402
0.5110 0.6914 0.8598
0.6914 0.8598 0.5110
0.7220 0.9586 0.0669
0.8598 0.5110 0.6914
0.9331 0.2780 0.0414
0.9586 0.0669 0.7220
0.5000 0.5000 0.5000
```

Summary:
Formation energy (eV/f.u.): 0.70
Symmetry: R-3 (148)
Magnetization (μB per atom): 0.000
Calculated volume (A^3/atom): 31.35

***

Record 9
Compound: Tb3ZnHg
Source: Alexandria via LeMat-Bulk
Functional: PBE-GGA
Structure: relaxed

Cell and atoms, written as POSCAR:
```
Tb3ZnHg
1.0
2.5830 -9.8833 0.0000
2.5830 9.8833 0.0000
0.0000 0.0000 5.1692
Tb Zn Hg
6 2 2
direct
0.0630 0.9370 0.7500
0.2490 0.7510 0.7500
0.4339 0.5661 0.7500
0.5661 0.4339 0.2500
0.7510 0.2490 0.2500
0.9370 0.0630 0.2500
0.1547 0.8453 0.2500
0.8453 0.1547 0.7500
0.3419 0.6581 0.2500
0.6581 0.3419 0.7500
```

Summary:
Formation energy (eV/f.u.): -1.50
Symmetry: Cmcm (63)
Magnetization (μB per atom): 0.038
Calculated volume (A^3/atom): 26.39
E above lowest polymorph (meV/atom): 0

***

Record 10
Compound: K4U3Te8Pb
Source: Alexandria via LeMat-Bulk
Functional: PBE-GGA
Structure: relaxed

Cell and atoms, written as POSCAR:
```
K4U3Te8Pb
1.0
4.6080 2.6604 8.1800
-4.6080 2.6604 8.1800
0.0000 -5.3208 8.1800
K U Te Pb
4 3 8 1
direct
0.0000 0.0000 0.0000
0.0000 0.5000 0.5000
0.5000 0.0000 0.5000
0.5000 0.5000 0.0000
0.0000 0.0000 0.5000
0.0000 0.5000 0.0000
0.5000 0.0000 0.0000
0.2242 0.7435 0.7435
0.2364 0.2364 0.2364
0.2565 0.2565 0.7758
0.2565 0.7758 0.2565
0.7435 0.2242 0.7435
0.7435 0.7435 0.2242
0.7636 0.7636 0.7636
0.7758 0.2565 0.2565
0.5000 0.5000 0.5000
```

Summary:
ΔE_f (raw) (meV per atom): -840
Symmetry: R-3m (166)
Magnetization (μB per atom): 0.500
Calculated volume (A^3/atom): 37.60

***

Record 11
Compound: Na8H4F3
Source: Alexandria via LeMat-Bulk
Functional: PBE-GGA
Structure: relaxed

Cell and atoms, written as POSCAR:
```
Na8H4F3
1.0
4.8085 -4.8101 0.0000
4.8085 4.8101 0.0000
-4.8069 0.0000 4.8148
Na H F
8 4 3
direct
0.2438 0.2438 0.4922
0.2451 0.2451 0.9964
0.2465 0.7535 0.0000
0.2486 0.7514 0.5000
0.7514 0.2486 0.5000
0.7535 0.2465 0.0000
0.7549 0.7549 0.0036
0.7562 0.7562 0.5078
0.0000 0.0000 0.0000
0.0000 0.5000 0.5000
0.5000 0.0000 0.5000
0.5000 0.5000 0.5000
0.0000 0.0000 0.5000
0.0000 0.5000 0.0000
0.5000 0.0000 0.0000
```

Summary:
Total DFT energy (no corrections) (eV/cell): -46.659
Symmetry: C2/m (12)
Magnetization (μB per atom): 0.065
Calculated volume (A^3/atom): 14.85

***

Record 12
Compound: LiPuHgO5
Source: Alexandria via LeMat-Bulk
Functional: PBE-GGA
Structure: relaxed

Cell and atoms, written as POSCAR:
```
LiPuHgO5
1.0
3.3090 -5.1870 0.0000
3.3090 5.1870 0.0000
-2.9410 0.0000 7.1710
Li Pu Hg O
2 2 2 10
direct
0.0355 0.9645 0.7500
0.9645 0.0355 0.2500
0.0000 0.5000 0.0000
0.5000 0.0000 0.5000
0.4308 0.5692 0.7500
0.5692 0.4308 0.2500
0.1190 0.7859 0.9295
0.1975 0.3439 0.8667
0.2141 0.8810 0.5705
0.3132 0.6868 0.2500
0.3439 0.1975 0.3667
0.6561 0.8025 0.6333
0.6868 0.3132 0.7500
0.7859 0.1190 0.4295
0.8025 0.6561 0.1333
0.8810 0.2141 0.0705
```

Summary:
ΔE_f (raw) (meV per atom): -1768
Symmetry: C2/c (15)
Magnetization (μB per atom): 0.125
Calculated volume (A^3/atom): 15.39

***

Q: Among the records above, which one has the lowest calculated volume?
A: V2CrGa2Ni7